Entry from Alexandria via LeMat-Bulk: a geometry-optimized ZrTaIr2 structure (PBE).

```
data_ZrTaIr2
_space_group_name_H-M_alt 'P 4/m m m'
_space_group_IT_number 123
_space_group_name_Hall '-P 4 2'
_cell_length_a 4.228
_cell_length_b 4.228
_cell_length_c 3.804
_cell_angle_alpha 90.00
_cell_angle_beta 90.00
_cell_angle_gamma 90.00
loop_
_atom_site_label
_atom_site_type_symbol
_atom_site_fract_x
_atom_site_fract_y
_atom_site_fract_z
_atom_site_occupancy
Zr1 Zr 0.000 0.000 0.000 1
Ta1 Ta 0.500 0.500 0.000 1
Ir1 Ir 0.000 0.500 0.500 1
```

Entry from Alexandria via LeMat-Bulk: a geometry-optimized Zr6TaIr5 structure (PBE).

```
data_Zr6TaIr5
_space_group_name_H-M_alt 'C m m m'
_space_group_IT_number 65
_space_group_name_Hall '-C 2 2'
_cell_length_a 4.667
_cell_length_b 14.024
_cell_length_c 6.717
_cell_angle_alpha 90.00
_cell_angle_beta 90.00
_cell_angle_gamma 90.00
loop_
_atom_site_label
_atom_site_type_symbol
_atom_site_fract_x
_atom_site_fract_y
_atom_site_fract_z
_atom_site_occupancy
Zr1 Zr 0.000 0.000 0.247 1
Zr2 Zr 0.000 0.333 0.249 1
Ta1 Ta 0.000 0.500 0.500 1
Ir1 Ir 0.000 0.168 0.000 1
Ir2 Ir 0.000 0.168 0.500 1
Ir3 Ir 0.000 0.500 0.000 1
```

Entry from Alexandria via LeMat-Bulk: a geometry-optimized Zr2TaIr4 structure (PBE).

```
data_Zr2TaIr4
_space_group_name_H-M_alt 'I 4/m m m'
_space_group_IT_number 139
_space_group_name_Hall '-I 4 2'
_cell_length_a 4.753
_cell_length_b 4.753
_cell_length_c 13.397
_cell_angle_alpha 90.00
_cell_angle_beta 90.00
_cell_angle_gamma 90.00
loop_
_atom_site_label
_atom_site_type_symbol
_atom_site_fract_x
_atom_site_fract_y
_atom_site_fract_z
_atom_site_occupancy
Zr1 Zr 0.000 0.000 0.130 1
Ta1 Ta 0.000 0.000 0.500 1
Ir1 Ir 0.000 0.000 0.313 1
Ir2 Ir 0.000 0.500 0.000 1
```

Entry from Alexandria via LeMat-Bulk: a geometry-optimized Tb2Ir3 structure (PBE).

```
data_Tb2Ir3
_space_group_name_H-M_alt 'C m c e'
_space_group_IT_number 64
_space_group_name_Hall '-C 2ac 2'
_cell_length_a 5.489
_cell_length_b 9.671
_cell_length_c 7.698
_cell_angle_alpha 90.00
_cell_angle_beta 90.00
_cell_angle_gamma 90.00
loop_
_atom_site_label
_atom_site_type_symbol
_atom_site_fract_x
_atom_site_fract_y
_atom_site_fract_z
_atom_site_occupancy
Tb1 Tb 0.000 0.154 0.098 1
Ir1 Ir 0.000 0.000 0.500 1
Ir2 Ir 0.250 0.107 0.750 1
```

no.,calculated formation energy (eV per atom),V (A^3/atom)
1,-0.602,17.00
2,-0.669,18.32
3,0.501,21.61
4,-0.723,20.43